# 1
PmPrSm: relaxed, GGA-PBE.

Structure (POSCAR):
```
PmPrSm
1.0
-2.554 -2.574 -0.533
1.977 -2.371 1.976
-3.393 4.787 5.738
Pr Pm Sm
1 1 1
Direct
0.000 0.000 0.999
0.668 0.668 0.336
0.332 0.332 0.665
```

Size of the total moment, μB per cell: 0.00
Crystal system: tetragonal
SG: I4mm
DFT total energy, eV for the cell shown: -14.20
Energy of formation from the pure elements, kJ per mole of atoms: 1.5
Relative energy among the computed polymorphs, meV per atom: 4

***

# 2
B2C: relaxed, GGA-PBE.

Structure (POSCAR):
```
B2C
1.0
-2.403 0.445 -1.266
-2.467 -0.645 4.454
1.291 6.037 -0.330
B C
8 4
Direct
0.500 0.215 0.045
0.500 0.492 0.898
0.000 0.268 0.537
0.000 0.248 0.250
0.000 0.844 0.728
0.500 0.478 0.255
0.000 0.998 0.014
0.000 0.855 0.239
0.500 0.239 0.647
0.500 0.785 0.351
0.000 0.671 0.926
0.500 0.907 0.610
```

Size of the total moment, μB per cell: 0.00
Crystal system: monoclinic
SG: Pm
DFT total energy, eV for the cell shown: -86.57
Energy of formation from the pure elements, kJ per mole of atoms: 30.1
Relative energy among the computed polymorphs, meV per atom: 127

***

# 3
Pm3MgGa4: relaxed, GGA-PBE.

Structure (POSCAR):
```
Pm3MgGa4
1.0
-0.962 -1.051 3.441
6.373 0.049 1.797
-3.402 8.509 -0.367
Ga Pm Mg
4 3 1
Direct
0.625 0.423 0.250
0.375 0.577 0.750
0.375 0.173 0.750
0.625 0.827 0.250
0.206 0.206 0.413
0.794 0.794 0.587
0.000 0.500 0.000
0.500 0.000 0.000
```

Size of the total moment, μB per cell: 0.00
Crystal system: orthorhombic
SG: Immm
DFT total energy, eV for the cell shown: -31.05
Energy of formation from the pure elements, kJ per mole of atoms: -37.3

***

# 4
PuHfSc3: relaxed, GGA-PBE.

Structure (POSCAR):
```
PuHfSc3
1.0
6.324 0.000 0.000
0.000 6.032 0.000
0.000 0.000 12.601
Hf Sc Pu
4 12 4
Direct
0.000 0.750 0.870
0.500 0.250 0.130
0.000 0.250 0.130
0.500 0.750 0.870
0.250 0.732 0.082
0.250 0.997 0.307
0.250 0.232 0.918
0.750 0.503 0.307
0.250 0.497 0.693
0.750 0.768 0.082
0.500 0.750 0.506
0.500 0.250 0.494
0.750 0.003 0.693
0.750 0.268 0.918
0.000 0.750 0.506
0.000 0.250 0.494
0.750 0.493 0.698
0.250 0.007 0.698
0.750 0.993 0.302
0.250 0.507 0.302
```

Size of the total moment, μB per cell: 25.43
Crystal system: orthorhombic
SG: Pbcm
DFT total energy, eV for the cell shown: -169.24
Energy of formation from the pure elements, kJ per mole of atoms: 18.7
Relative energy among the computed polymorphs, meV per atom: 107

***

# 5
Zn2TcCl2: relaxed, GGA-PBE.

Structure (POSCAR):
```
Zn2TcCl2
1.0
6.252 0.000 0.000
0.000 6.252 0.000
0.000 0.000 5.409
Cl Zn Tc
4 4 2
Direct
0.327 0.827 0.000
0.673 0.173 0.000
0.173 0.327 0.000
0.827 0.673 0.000
0.651 0.849 0.500
0.151 0.651 0.500
0.349 0.151 0.500
0.849 0.349 0.500
0.500 0.500 0.000
0.000 0.000 0.000
```

Size of the total moment, μB per cell: 0.75
Crystal system: tetragonal
Formation energy without anion corrections, meV/atom: 351
SG: P4/mbm
DFT total energy, eV for the cell shown: -29.70
Relative energy among the computed polymorphs, meV per atom: 58

***

# 6
SrMgH8Rh2: relaxed, GGA-PBE.

Structure (POSCAR):
```
SrMgH8Rh2
1.0
-2.515 -3.165 -2.733
-2.224 -3.804 2.096
-6.385 0.880 0.500
H Rh Sr Mg
8 2 1 1
Direct
0.902 0.590 0.138
0.795 0.795 0.615
0.370 0.902 0.138
0.630 0.098 0.862
0.590 0.370 0.138
0.410 0.630 0.862
0.098 0.410 0.862
0.205 0.205 0.385
0.697 0.697 0.909
0.303 0.303 0.091
0.500 0.500 0.500
0.000 0.000 0.000
```

Size of the total moment, μB per cell: 0.00
Crystal system: trigonal
SG: R-3
DFT total energy, eV for the cell shown: -48.44

***

# 7
LaTb2Si4: relaxed, GGA-PBE.

Structure (POSCAR):
```
LaTb2Si4
1.0
-2.085 3.289 0.419
-1.301 -0.291 -4.185
-5.302 -6.253 4.389
Tb Si La
2 4 1
Direct
0.183 0.183 0.366
0.817 0.817 0.634
0.650 0.650 0.300
0.068 0.568 0.135
0.932 0.432 0.865
0.350 0.350 0.700
0.500 0.000 0.000
```

Size of the total moment, μB per cell: 0.00
Crystal system: orthorhombic
Formation energy without anion corrections, meV/atom: -782
SG: Immm
DFT total energy, eV for the cell shown: -41.35

***

# 8
Sc5Ge2Sb2: relaxed, GGA-PBE.

Structure (POSCAR):
```
Sc5Ge2Sb2
1.0
-3.788 -4.546 4.547
-4.833 -1.457 -5.482
6.471 -4.765 0.627
Sc Ge Sb
10 4 4
Direct
0.163 0.463 0.251
0.837 0.537 0.749
0.337 0.963 0.251
0.337 0.712 0.749
0.663 0.037 0.749
0.837 0.788 0.251
0.500 0.500 0.000
0.663 0.288 0.251
0.163 0.212 0.749
0.000 0.000 0.000
0.638 0.861 0.000
0.862 0.361 0.000
0.362 0.139 0.000
0.138 0.639 0.000
0.500 0.294 0.588
0.000 0.206 0.412
0.500 0.706 0.412
0.000 0.794 0.588
```

Size of the total moment, μB per cell: 0.00
Crystal system: orthorhombic
Formation energy without anion corrections, meV/atom: -918
SG: Cmce
DFT total energy, eV for the cell shown: -114.80

***

# 9
Sc6Au2NO: relaxed, GGA-PBE.

Structure (POSCAR):
```
Sc6Au2NO
1.0
-3.579 4.856 1.520
-2.584 -0.133 -5.657
-6.186 -5.484 2.954
Sc Au O N
12 4 2 2
Direct
0.000 0.750 0.752
0.500 0.250 0.748
0.748 0.002 0.500
0.000 0.750 0.248
0.748 0.497 0.500
0.500 0.250 0.252
0.248 0.998 0.000
0.252 0.002 0.500
0.752 0.998 0.000
0.248 0.503 0.000
0.752 0.503 0.000
0.252 0.497 0.500
0.000 0.250 0.250
0.500 0.750 0.250
0.000 0.250 0.750
0.500 0.750 0.750
0.000 0.750 0.500
0.500 0.250 0.000
0.000 0.750 0.000
0.500 0.250 0.500
```

Size of the total moment, μB per cell: 0.00
Crystal system: tetragonal
Formation energy without anion corrections, meV/atom: -1387
SG: I4/mmm
DFT total energy, eV for the cell shown: -143.40

***

# 10
Pm2Tl2BRh4: relaxed, GGA-PBE.

Structure (POSCAR):
```
Pm2Tl2BRh4
1.0
6.235 -0.057 -0.082
-3.043 5.443 0.082
-3.043 -1.835 5.125
Pm Rh Tl B
2 4 2 1
Direct
0.000 0.704 0.704
0.000 0.296 0.296
0.000 0.765 0.235
0.530 0.765 0.765
0.470 0.235 0.235
0.000 0.235 0.765
0.500 0.250 0.750
0.500 0.750 0.250
0.000 0.000 0.000
```

Size of the total moment, μB per cell: 0.00
Crystal system: tetragonal
SG: I4/mmm
DFT total energy, eV for the cell shown: -52.89
Energy of formation from the pure elements, kJ per mole of atoms: -27.6

***

# 11
Pm12Y5Ho: relaxed, GGA-PBE.

Structure (POSCAR):
```
Pm12Y5Ho
1.0
11.220 0.000 -0.006
5.610 9.021 -0.003
0.004 0.000 5.998
Y Pm Ho
5 12 1
Direct
0.832 0.335 0.500
0.333 0.335 0.000
0.500 0.000 0.500
0.168 0.665 0.500
0.667 0.665 0.000
0.161 0.000 0.507
0.503 0.668 0.493
0.497 0.332 0.507
0.338 0.000 0.007
0.171 0.332 0.493
0.829 0.668 0.507
0.662 0.000 0.993
0.672 0.331 0.007
0.328 0.669 0.993
0.003 0.669 0.007
0.839 0.000 0.493
0.997 0.331 0.993
0.000 0.000 0.000
```

Size of the total moment, μB per cell: 0.00
Crystal system: monoclinic
SG: C2/m
DFT total energy, eV for the cell shown: -91.99
Energy of formation from the pure elements, kJ per mole of atoms: 10.3

***

# 12
Pm3Ho3AgTe8: relaxed, GGA-PBE.

Structure (POSCAR):
```
Pm3Ho3AgTe8
1.0
8.766 0.000 0.000
-4.383 7.592 -0.026
0.000 -5.036 7.190
Te Pm Ho Ag
8 3 3 1
Direct
0.748 0.496 0.255
0.253 0.506 0.260
0.748 0.007 0.255
0.259 0.007 0.255
0.252 0.993 0.745
0.252 0.504 0.745
0.741 0.993 0.745
0.747 0.494 0.740
0.000 0.500 0.000
0.000 0.000 0.000
0.500 0.500 0.000
0.500 0.000 0.500
0.500 0.500 0.500
0.000 0.500 0.500
0.000 0.000 0.500
```

Size of the total moment, μB per cell: 0.00
Crystal system: trigonal
Formation energy without anion corrections, meV/atom: -1225
SG: R-3m
DFT total energy, eV for the cell shown: -74.35

***

# 13
SrPr2Dy3Te6: relaxed, GGA-PBE.

Structure (POSCAR):
```
SrPr2Dy3Te6
1.0
-3.831 2.039 -0.938
-3.098 -7.568 -3.799
-0.769 -1.744 9.859
Te Dy Pr Sr
6 3 2 1
Direct
0.661 0.591 0.321
0.339 0.409 0.679
0.999 0.261 0.998
0.329 0.925 0.658
0.001 0.739 0.002
0.671 0.075 0.342
0.167 0.825 0.334
0.500 0.500 0.000
0.833 0.175 0.666
0.173 0.347 0.347
0.827 0.653 0.653
0.500 0.000 0.000
```

Size of the total moment, μB per cell: 0.00
Crystal system: monoclinic
Formation energy without anion corrections, meV/atom: -1407
SG: C2/m
DFT total energy, eV for the cell shown: -60.79

***

# 14
VTcRh2: relaxed, GGA-PBE.

Structure (POSCAR):
```
VTcRh2
1.0
-3.701 -0.779 -0.573
-0.127 -1.852 3.341
-0.958 3.252 1.766
V Rh Tc
1 2 1
Direct
0.500 0.500 0.500
0.000 0.000 0.500
0.000 0.500 0.000
0.500 0.000 0.000
```

Size of the total moment, μB per cell: 0.00
Crystal system: tetragonal
SG: P4/mmm
DFT total energy, eV for the cell shown: -35.26
Energy of formation from the pure elements, kJ per mole of atoms: -25.9
Relative energy among the computed polymorphs, meV per atom: 0

***

# 15
Cd3InB: relaxed, GGA-PBE.

Structure (POSCAR):
```
Cd3InB
1.0
-4.334 -0.847 3.211
2.940 -3.432 3.064
1.543 4.161 3.180
Cd In B
3 1 1
Direct
0.000 0.500 0.000
0.000 0.000 0.500
0.500 0.000 0.000
0.000 0.000 0.000
0.500 0.500 0.500
```

Size of the total moment, μB per cell: 0.00
Crystal system: cubic
SG: Pm-3m
DFT total energy, eV for the cell shown: -5.56
Energy of formation from the pure elements, kJ per mole of atoms: 127.4
Relative energy among the computed polymorphs, meV per atom: 857

***

# 16
GdScP: relaxed, GGA-PBE.

Structure (POSCAR):
```
GdScP
1.0
-2.206 0.480 3.460
-3.685 0.186 -2.375
1.468 -3.864 1.472
Sc P Gd
1 1 1
Direct
0.201 0.333 0.667
0.093 0.000 0.000
0.706 0.667 0.333
```

Size of the total moment, μB per cell: 7.05
Crystal system: trigonal
SG: P3m1
DFT total energy, eV for the cell shown: -27.96
Energy of formation from the pure elements, kJ per mole of atoms: -68.6